Below is an optimized crystal structure of Sr5Se4, with properties calculated at the PBE level.

Formation energy from raw total energies: -1.521 eV/atom
Total magnetic moment: 1.02 μB per formula unit
Total energy: -0.14715 hartree per atom
Energy relative to the lowest polymorph listed for this composition: 0.0000 eV/atom

a = 9.1608 Å, b = 9.1608 Å, c = 7.7930 Å
α = 90.00°, β = 90.00°, γ = 120.00°
With the nearest neighbours (Å) after each atom.
Element x y z (fractional)
Sr 0.0000 0.2522 0.2500  5 Se 3.02-3.23
Sr 0.0000 0.7478 0.7500  5 Se 3.02-3.23
Sr 0.2522 0.0000 0.2500  5 Se 3.02-3.23
Sr 0.2522 0.2522 0.7500  5 Se 3.02-3.23
Sr 0.3333 0.6667 0.0000  6 Se 3.40
Sr 0.3333 0.6667 0.5000  6 Se 3.40
Sr 0.6667 0.3333 0.0000  6 Se 3.40
Sr 0.6667 0.3333 0.5000  6 Se 3.40
Sr 0.7478 0.0000 0.7500  5 Se 3.02-3.23
Sr 0.7478 0.7478 0.2500  5 Se 3.02-3.23
Se 0.0000 0.0000 0.0000  6 Sr 3.02
Se 0.0000 0.0000 0.5000  6 Sr 3.02
Se 0.0000 0.4033 0.7500  7 Sr 3.16-3.40
Se 0.0000 0.5967 0.2500  7 Sr 3.16-3.40
Se 0.4033 0.0000 0.7500  7 Sr 3.16-3.40
Se 0.4033 0.4033 0.2500  7 Sr 3.16-3.40
Se 0.5967 0.0000 0.2500  7 Sr 3.16-3.40
Se 0.5967 0.5967 0.7500  7 Sr 3.16-3.40



Below is an optimized crystal structure of Sr2Cu2Hg, with properties calculated at the PBE level.

Formation energy from the elements: -93.5 meV/atom
Total magnetic moment: 0.00 μB per formula unit
Total energy: -0.09059 hartree per atom
Energy relative to the lowest polymorph listed for this composition: 0.0864 eV/atom

a = 5.7329 Å, b = 5.7329 Å, c = 5.7329 Å
α = 117.39°, β = 117.39°, γ = 94.59°
With the nearest neighbours (Å) after each atom.
Element x y z (fractional)
Sr 0.2500 0.7500 0.5000  4 Cu 3.08
Sr 0.7500 0.2500 0.5000  4 Cu 3.08
Cu 0.1505 0.1505 0.0000  1 Cu 2.34
Cu 0.8495 0.8495 0.0000  1 Cu 2.34
Hg 0.5000 0.5000 0.0000  2 Cu 2.72